Density functional theory data (PBE-GGA) for a relaxed As2RhPb crystal.

Values from the calculation:
symmetry = I-42d
calculated volume = 27.1 Å³/atom
DOS(E_F) = 4.3 states/eV/cell
raw total energy = -5.135 eV per atom

Cell lengths 5.992, 5.992, 7.373 Å; angles 66.02, 66.02, 90.00 degrees
Positions (direct):
As 0.554 0.125 0.250
As 0.375 0.446 0.750
Pb 0.000 0.000 0.000
Rh 0.250 0.750 0.500
Rh 0.500 0.500 0.000
Pb 0.750 0.250 0.500
As 0.875 0.804 0.750
As 0.196 0.625 0.250

---

Density functional theory data (PBE-GGA) for a relaxed As2RhPb crystal.

Values from the calculation:
symmetry = Cm
calculated volume = 22.7 Å³/atom
DOS(E_F) = 1.5 states/eV/cell
raw total energy = -5.203 eV per atom

Cell lengths 4.497, 4.497, 6.111 Å; angles 76.16, 76.16, 49.47 degrees
Positions (direct):
As 0.929 0.929 0.120
Rh 0.230 0.230 0.097
As 0.783 0.783 0.806
Pb 0.558 0.558 0.478

---

Density functional theory data (PBE-GGA) for a relaxed As2RhPb crystal.

Values from the calculation:
symmetry = R3m
calculated volume = 21.0 Å³/atom
DOS(E_F) = 2.5 states/eV/cell
raw total energy = -5.018 eV per atom

Cell lengths 7.723, 7.723, 7.723 Å; angles 27.01, 27.01, 27.01 degrees
Positions (direct):
Rh 0.736 0.736 0.736
As 0.012 0.012 0.012
Pb 0.496 0.496 0.496
As 0.256 0.256 0.256

---

Density functional theory data (PBE-GGA) for a relaxed As2RhPb crystal.

Values from the calculation:
symmetry = P4mm
calculated volume = 20.4 Å³/atom
DOS(E_F) = 2.5 states/eV/cell
raw total energy = -5.078 eV per atom

Cell lengths 3.336, 3.337, 7.344 Å; angles 90.00, 90.00, 90.00 degrees
Positions (direct):
As 0.500 0.500 0.183
As 0.000 0.000 0.964
Pb 0.000 0.000 0.533
Rh 0.500 0.500 0.819

---

Density functional theory data (PBE-GGA) for a relaxed AsRhPb3 crystal.

Values from the calculation:
symmetry = Pm-3m
excess energy over the best structure of this formula in the dataset = 0.00 eV/f.u.
calculated volume = 28.8 Å³/atom
DOS(E_F) = 0.9 states/eV/cell

Cell lengths 5.244, 5.244, 5.244 Å; angles 90.00, 90.00, 90.00 degrees
Positions (direct):
Rh 0.000 0.000 0.000
Pb 0.000 0.000 0.500
Pb 0.000 0.500 0.000
Pb 0.500 0.000 0.000
As 0.500 0.500 0.500

---

Density functional theory data (PBE-GGA) for a relaxed AsRhPb crystal.

Values from the calculation:
symmetry = F-43m
excess energy over the best structure of this formula in the dataset = 0.56 eV/f.u.
calculated volume = 21.6 Å³/atom
DOS(E_F) = 1.9 states/eV/cell

Cell lengths 4.507, 4.507, 4.507 Å; angles 60.00, 60.00, 60.00 degrees
Positions (direct):
As 0.000 0.000 0.000
Rh 0.750 0.750 0.750
Pb 0.500 0.500 0.500

---

Density functional theory data (PBE-GGA) for a relaxed AsRhPb crystal.

Values from the calculation:
symmetry = P-1
excess energy over the best structure of this formula in the dataset = 0.00 eV/f.u.
calculated volume = 22.4 Å³/atom
DOS(E_F) = 3.0 states/eV/cell

Cell lengths 4.493, 4.493, 6.744 Å; angles 88.54, 88.66, 99.09 degrees
Positions (direct):
As 0.276 0.329 0.759
As 0.851 0.904 0.080
Rh 0.776 0.404 0.920
Pb 0.803 0.857 0.589
Rh 0.351 0.829 0.920
Pb 0.324 0.376 0.250

---

Density functional theory data (PBE-GGA) for a relaxed As2RhPb crystal.

Values from the calculation:
symmetry = P4/mmm
calculated volume = 20.5 Å³/atom
DOS(E_F) = 1.9 states/eV/cell
raw total energy = -5.179 eV per atom

Cell lengths 3.206, 3.206, 7.961 Å; angles 90.00, 90.00, 90.00 degrees
Positions (direct):
Rh 0.500 0.500 0.750
As 0.000 0.000 0.929
As 0.000 0.000 0.571
Pb 0.500 0.500 0.250

---

Density functional theory data (PBE-GGA) for a relaxed AsRhPb crystal.

Values from the calculation:
symmetry = P3m1
excess energy over the best structure of this formula in the dataset = 0.29 eV/f.u.
calculated volume = 21.8 Å³/atom
DOS(E_F) = 1.3 states/eV/cell

Cell lengths 3.561, 3.561, 5.949 Å; angles 90.00, 90.00, 120.00 degrees
Positions (direct):
Pb 0.333 0.667 0.358
Rh 0.667 0.333 0.716
As 0.000 0.000 0.926

---

Density functional theory data (PBE-GGA) for a relaxed As2RhPb crystal.

Values from the calculation:
symmetry = C2/m
calculated volume = 21.5 Å³/atom
DOS(E_F) = 1.7 states/eV/cell
raw total energy = -5.211 eV per atom

Cell lengths 4.065, 4.065, 6.562 Å; angles 73.73, 73.73, 56.60 degrees
Positions (direct):
As 0.523 0.523 0.420
Rh 0.250 0.250 0.250
Pb 0.750 0.750 0.750
As 0.977 0.977 0.080

---

Density functional theory data (PBE-GGA) for a relaxed As2RhPb crystal.

Values from the calculation:
symmetry = I-4m2
calculated volume = 19.8 Å³/atom
DOS(E_F) = 2.6 states/eV/cell
raw total energy = -4.806 eV per atom

Cell lengths 5.127, 5.127, 5.127 Å; angles 129.00, 129.00, 75.01 degrees
Positions (direct):
Pb 0.500 0.500 0.000
Rh 0.750 0.250 0.500
As 0.250 0.750 0.500
As 0.000 0.000 0.000

---

Density functional theory data (PBE-GGA) for a relaxed AsRh2Pb crystal.

Values from the calculation:
symmetry = Immm
calculated volume = 18.9 Å³/atom
DOS(E_F) = 4.5 states/eV/cell
raw total energy = -5.723 eV per atom

Cell lengths 4.969, 4.969, 4.969 Å; angles 135.68, 114.19, 82.81 degrees
Positions (direct):
Rh 0.450 0.450 0.000
Pb 0.750 0.250 0.500
Rh 0.050 0.050 0.000
As 0.250 0.750 0.500

---

Density functional theory data (PBE-GGA) for a relaxed AsRhPb crystal.

Values from the calculation:
symmetry = P3m1
excess energy over the best structure of this formula in the dataset = 0.44 eV/f.u.
calculated volume = 22.8 Å³/atom
DOS(E_F) = 2.6 states/eV/cell

Cell lengths 4.168, 4.168, 4.538 Å; angles 90.00, 90.00, 120.00 degrees
Positions (direct):
Rh 0.333 0.667 0.832
Pb 0.667 0.333 0.334
As 0.000 0.000 0.834

---

Density functional theory data (PBE-GGA) for a relaxed AsRhPb crystal.

Values from the calculation:
symmetry = I4mm
excess energy over the best structure of this formula in the dataset = 0.30 eV/f.u.
calculated volume = 21.4 Å³/atom
DOS(E_F) = 2.0 states/eV/cell

Cell lengths 6.676, 6.676, 3.196 Å; angles 76.15, 76.15, 27.70 degrees
Positions (direct):
Pb 0.312 0.312 0.688
Rh 0.640 0.640 0.360
As 0.048 0.048 0.952

---

Density functional theory data (PBE-GGA) for a relaxed As2RhPb crystal.

Values from the calculation:
symmetry = Pmmm
calculated volume = 20.0 Å³/atom
DOS(E_F) = 2.4 states/eV/cell
raw total energy = -4.811 eV per atom

Cell lengths 4.048, 4.183, 4.734 Å; angles 90.00, 90.00, 90.00 degrees
Positions (direct):
As 0.500 0.500 0.000
As 0.000 0.000 0.000
Pb 0.500 0.000 0.500
Rh 0.000 0.500 0.500

---

Density functional theory data (PBE-GGA) for a relaxed AsRh2Pb crystal.

Values from the calculation:
symmetry = I-42d
calculated volume = 20.0 Å³/atom
DOS(E_F) = 9.3 states/eV/cell
raw total energy = -5.733 eV per atom

Cell lengths 4.395, 4.395, 8.841 Å; angles 75.61, 75.61, 90.00 degrees
Positions (direct):
Pb 0.750 0.250 0.500
Rh 0.875 0.815 0.750
Rh 0.375 0.435 0.750
As 0.500 0.500 0.000
Pb 0.000 0.000 0.000
Rh 0.565 0.125 0.250
As 0.250 0.750 0.500
Rh 0.185 0.625 0.250

---

Density functional theory data (PBE-GGA) for a relaxed As2RhPb crystal.

Values from the calculation:
symmetry = Cmmm
calculated volume = 20.3 Å³/atom
DOS(E_F) = 2.3 states/eV/cell
raw total energy = -4.809 eV per atom

Cell lengths 4.741, 4.741, 3.766 Å; angles 90.00, 90.00, 106.83 degrees
Positions (direct):
As 0.500 0.500 0.000
Pb 0.500 0.000 0.500
Rh 0.000 0.500 0.500
As 0.000 0.000 0.000

---

Density functional theory data (PBE-GGA) for a relaxed AsRh2Pb crystal.

Values from the calculation:
symmetry = C2/m
calculated volume = 19.6 Å³/atom
DOS(E_F) = 2.8 states/eV/cell
raw total energy = -5.924 eV per atom

Cell lengths 3.881, 3.881, 6.419 Å; angles 72.30, 72.30, 59.88 degrees
Positions (direct):
Rh 0.030 0.030 0.908
As 0.750 0.750 0.750
Pb 0.250 0.250 0.250
Rh 0.470 0.470 0.592

---

Density functional theory data (PBE-GGA) for a relaxed AsRhPb crystal.

Values from the calculation:
symmetry = P2_13
excess energy over the best structure of this formula in the dataset = 0.11 eV/f.u.
calculated volume = 21.7 Å³/atom
DOS(E_F) = 8.9 states/eV/cell

Cell lengths 6.387, 6.387, 6.387 Å; angles 90.00, 90.00, 90.00 degrees
Positions (direct):
Pb 0.145 0.645 0.855
Pb 0.855 0.145 0.645
As 0.367 0.133 0.867
Rh 0.455 0.955 0.545
As 0.633 0.633 0.633
Pb 0.645 0.855 0.145
Pb 0.355 0.355 0.355
Rh 0.955 0.545 0.455
Rh 0.545 0.455 0.955
As 0.867 0.367 0.133
Rh 0.045 0.045 0.045
As 0.133 0.867 0.367

---

Density functional theory data (PBE-GGA) for a relaxed AsRh2Pb crystal.

Values from the calculation:
symmetry = F-43m
calculated volume = 17.9 Å³/atom
DOS(E_F) = 2.7 states/eV/cell
raw total energy = -5.473 eV per atom

Cell lengths 4.661, 4.661, 4.661 Å; angles 60.00, 60.00, 60.00 degrees
Positions (direct):
Pb 0.750 0.750 0.750
As 0.500 0.500 0.500
Rh 0.250 0.250 0.250
Rh 0.000 0.000 0.000

---

Density functional theory data (PBE-GGA) for a relaxed AsRh2Pb crystal.

Values from the calculation:
symmetry = Imm2
calculated volume = 18.6 Å³/atom
DOS(E_F) = 2.4 states/eV/cell
raw total energy = -5.927 eV per atom

Cell lengths 6.909, 6.909, 6.909 Å; angles 149.98, 153.07, 40.77 degrees
Positions (direct):
As 0.456 0.456 0.000
Pb 0.702 0.202 0.500
Rh 0.327 0.827 0.500
Rh 0.015 0.015 0.000

---

Density functional theory data (PBE-GGA) for a relaxed AsRhPb3 crystal.

Values from the calculation:
symmetry = Pm-3m
excess energy over the best structure of this formula in the dataset = 3.91 eV/f.u.
calculated volume = 32.8 Å³/atom
DOS(E_F) = 3.6 states/eV/cell

Cell lengths 5.473, 5.473, 5.473 Å; angles 90.00, 90.00, 90.00 degrees
Positions (direct):
Pb 0.000 0.500 0.000
Pb 0.500 0.000 0.000
Rh 0.500 0.500 0.500
Pb 0.000 0.000 0.500
As 0.000 0.000 0.000

---

Density functional theory data (PBE-GGA) for a relaxed AsRh2Pb crystal.

Values from the calculation:
symmetry = I-4m2
calculated volume = 17.6 Å³/atom
DOS(E_F) = 2.4 states/eV/cell
raw total energy = -5.687 eV per atom

Cell lengths 5.485, 5.485, 5.485 Å; angles 138.91, 138.91, 59.52 degrees
Positions (direct):
Rh 0.250 0.750 0.500
Pb 0.750 0.250 0.500
As 0.500 0.500 0.000
Rh 0.000 0.000 0.000

---

Density functional theory data (PBE-GGA) for a relaxed AsRh2Pb2 crystal.

Values from the calculation:
symmetry = P4/mbm
calculated volume = 21.1 Å³/atom
DOS(E_F) = 9.7 states/eV/cell
raw total energy = -5.332 eV per atom

Cell lengths 6.436, 6.436, 5.099 Å; angles 90.00, 90.00, 90.00 degrees
Positions (direct):
Rh 0.346 0.846 0.000
As 0.000 0.000 0.000
Pb 0.673 0.827 0.500
Pb 0.173 0.673 0.500
Rh 0.654 0.154 0.000
Rh 0.154 0.346 0.000
Rh 0.846 0.654 0.000
Pb 0.327 0.173 0.500
Pb 0.827 0.327 0.500
As 0.500 0.500 0.000

---

Density functional theory data (PBE-GGA) for a relaxed As4RhPb crystal.

Values from the calculation:
symmetry = F-43m
calculated volume = 20.7 Å³/atom
DOS(E_F) = 4.5 states/eV/cell
raw total energy = -4.450 eV per atom

Cell lengths 5.605, 5.605, 5.605 Å; angles 60.00, 60.00, 60.00 degrees
Positions (direct):
Rh 0.000 0.000 0.000
Pb 0.750 0.750 0.750
As 0.375 0.875 0.375
As 0.375 0.375 0.875
As 0.875 0.375 0.375
As 0.375 0.375 0.375

---

Density functional theory data (PBE-GGA) for a relaxed AsRh2PbS crystal.

Values from the calculation:
symmetry = P4/mmm
calculated volume = 26.8 Å³/atom
DOS(E_F) = 6.3 states/eV/cell
raw total energy = -3.845 eV per atom

Cell lengths 5.048, 5.251, 5.048 Å; angles 90.00, 90.00, 90.00 degrees
Positions (direct):
Rh 0.500 0.000 0.000
Pb 0.000 0.000 0.000
S 0.500 0.500 0.500
As 0.000 0.500 0.000
Rh 0.000 0.000 0.500

---

Density functional theory data (PBE-GGA) for a relaxed SbAs2RhPb crystal.

Values from the calculation:
symmetry = P4/mmm
calculated volume = 27.8 Å³/atom
DOS(E_F) = 4.3 states/eV/cell
raw total energy = -4.209 eV per atom

Cell lengths 5.339, 4.876, 5.339 Å; angles 90.00, 90.00, 90.00 degrees
Positions (direct):
Sb 0.000 0.000 0.000
As 0.000 0.000 0.500
Rh 0.000 0.500 0.000
Pb 0.500 0.500 0.500
As 0.500 0.000 0.000

---

Density functional theory data (PBE-GGA) for a relaxed Sc2AsRhPb crystal.

Values from the calculation:
symmetry = P4/mmm
calculated volume = 23.9 Å³/atom
DOS(E_F) = 4.5 states/eV/cell
raw total energy = -6.010 eV per atom

Cell lengths 5.084, 5.084, 4.625 Å; angles 90.00, 90.00, 90.00 degrees
Positions (direct):
Pb 0.500 0.500 0.500
Sc 0.000 0.500 0.000
As 0.000 0.000 0.500
Rh 0.000 0.000 0.000
Sc 0.500 0.000 0.000

---

Density functional theory data (PBE-GGA) for a relaxed SmAs2Rh7Pb2 crystal.

Values from the calculation:
symmetry = C2/m
calculated volume = 18.9 Å³/atom
DOS(E_F) = 9.4 states/eV/cell
raw total energy = -6.310 eV per atom

Cell lengths 4.026, 4.026, 14.591 Å; angles 78.75, 78.75, 89.62 degrees
Positions (direct):
Rh 0.609 0.109 0.846
As 0.676 0.676 0.751
Rh 0.196 0.196 0.423
Rh 0.500 0.500 0.000
Rh 0.804 0.804 0.577
Pb 0.283 0.283 0.610
Rh 0.891 0.391 0.154
Sm 0.000 0.000 0.000
Rh 0.391 0.891 0.154
As 0.324 0.324 0.249
Pb 0.717 0.717 0.390
Rh 0.109 0.609 0.846

---

Respective magnetization values: 0.000, 0.000, 0.000, 0.000, 0.000, 0.000, 0.000, 0.000, 0.000, 0.000, 0.000, 0.000, 0.000, 0.000, 0.000, 0.000, 0.000, 0.000, 0.000, 0.000, 0.000, 0.000, 0.000, 0.000, 0.000, 0.295, 0.000, 0.000, 0.000 μB per atom.